# Pm4Y2Ho PBE optimized geometry
# Formation energy from the elements in eV per atom: 0.247
# N(E_F) in states/eV/f.u.: 10.29
# Volume in Å³ per cell: 958.23
data_Pm4Y2Ho
_chemical_formula_sum 'Pm16 Y8 Ho4'
_symmetry_space_group_name_H-M 'I m m a'
_symmetry_Int_Tables_number 74
_symmetry_space_group_name_Hall '-I 2b 2'
_cell_length_a 6.879
_cell_length_b 11.399
_cell_length_c 12.221
_cell_angle_alpha 90.00
_cell_angle_beta 90.00
_cell_angle_gamma 90.00
loop_
_atom_site_label
_atom_site_fract_x
_atom_site_fract_y
_atom_site_fract_z
_atom_site_occupancy
Pm1 0.000 0.006 0.146 1
Pm2 0.219 0.250 0.991 1
Y1 0.000 0.000 0.500 1
Y2 0.000 0.250 0.718 1
Ho1 0.250 0.250 0.250 1